Entry from Alexandria via LeMat-Bulk: a relaxed SmSnSb2 crystal (PBE).

Calculated values
The formation energy from raw total energies is -0.50 eV per atom. Its crystal system is tetragonal. The density comes out at 7.6 g/cm³.

a b c (Å): 4.1984 4.1984 6.3647
angles (deg): 90.00 90.00 90.00
Closest atoms and distances in Å follow each position.
Space group P4/mmm (No. 123)
Inequivalent atoms, fractional coordinates:
Sm: 0.0000 0.0000 0.0000 (multiplicity 1)  2 Sn 3.18, 8 Sb 3.35
Sn: 0.0000 0.0000 0.5000 (multiplicity 1)  2 Sm 3.18, 8 Sb 3.39
Sb: 0.5000 0.5000 0.2443 (multiplicity 2)  2 Sb 3.11-3.26, 4 Sm 3.35, 4 Sn 3.39

***

Entry from Alexandria via LeMat-Bulk: a relaxed KRePt crystal (PBE).

Calculated values
Its crystal system is monoclinic. The density comes out at 9.9 g/cm³. The raw total energy is -6.101 eV per atom.

a b c (Å): 5.3333 8.9479 6.4559
angles (deg): 90.00 113.96 90.00
Closest atoms and distances in Å follow each position.
Space group C2/m (No. 12)
Inequivalent atoms, fractional coordinates:
K: 0.0000 0.1656 0.0000 (multiplicity 4)  3 K 2.96-3.07, 2 Pt 3.27
Re: 0.1637 0.5000 0.4221 (multiplicity 4)  1 Re 2.34, 2 Pt 2.59
Pt: 0.0000 0.2231 0.5000 (multiplicity 4)  4 Re 2.59-2.74, 2 Pt 2.71